Record 1
Material: Ta3Mo
Method: DFT, GGA-PBE
State: relaxed

```
4
Lattice="4.600 2.656 0.960 -4.600 2.656 0.960 0.000 -5.312 0.960" Properties=species:S:1:pos:R:3 pbc="T T T"
Ta -2.300 -1.328 0.960
Ta -2.300 1.328 1.920
Ta 0.000 2.656 0.960
Mo 0.000 0.000 0.000
```

VASP energy = -11.642 eV/atom
D(E_F) = 5.9 states/eV per cell
ΔE_f = -17 kJ/mol of formula units
SG = R-3m (166)
M_tot = 0.000 μB/f.u.


Record 2
Material: Ta3Mo
Method: DFT, GGA-PBE
State: relaxed

```
4
Lattice="0.000 3.273 3.273 3.273 0.000 3.273 3.273 3.273 0.000" Properties=species:S:1:pos:R:3 pbc="T T T"
Ta 0.000 0.000 0.000
Ta 1.637 1.637 1.637
Ta 4.910 4.910 4.910
Mo 3.273 3.273 3.273
```

VASP energy = -11.671 eV/atom
D(E_F) = 5.5 states/eV per cell
ΔE_f = -28 kJ/mol of formula units
SG = Fm-3m (225)
M_tot = 0.000 μB/f.u.


Record 3
Material: Ta2Mo
Method: DFT, GGA-PBE
State: relaxed

```
6
Lattice="4.632 0.000 0.000 -2.316 4.011 0.000 0.000 0.000 5.587" Properties=species:S:1:pos:R:3 pbc="T T T"
Ta 0.000 0.000 0.000
Ta 0.000 0.000 2.794
Ta 0.000 2.674 0.971
Ta 2.316 1.337 4.616
Mo 0.000 2.674 3.747
Mo 2.316 1.337 1.840
```

VASP energy = -11.638 eV/atom
D(E_F) = 5.5 states/eV per cell
ΔE_f = -36 kJ/mol of formula units
SG = P-3m1 (164)
M_tot = 0.000 μB/f.u.


Record 4
Material: Ta3Mo
Method: DFT, GGA-PBE
State: relaxed

```
4
Lattice="-1.629 2.323 4.639 1.629 -2.323 4.639 1.629 2.323 -4.639" Properties=species:S:1:pos:R:3 pbc="T T T"
Ta 0.000 0.000 0.000
Ta 1.629 0.000 2.410
Ta 0.000 2.323 2.229
Mo 0.000 0.000 4.639
```

VASP energy = -11.711 eV/atom
D(E_F) = 3.7 states/eV per cell
ΔE_f = -44 kJ/mol of formula units
SG = Immm (71)
M_tot = 0.000 μB/f.u.


Record 5
Material: TaMo2
Method: DFT, GGA-PBE
State: relaxed

```
6
Lattice="-3.026 3.026 2.931 3.026 -3.026 2.931 3.026 3.026 -2.931" Properties=species:S:1:pos:R:3 pbc="T T T"
Ta 0.000 0.000 1.465
Ta 0.000 0.000 4.396
Mo 4.023 0.996 0.000
Mo 0.996 2.030 0.000
Mo 2.030 0.996 2.931
Mo -0.996 2.030 2.931
```

VASP energy = -10.578 eV/atom
D(E_F) = 6.2 states/eV per cell
ΔE_f = 172 kJ/mol of formula units
SG = I4/mcm (140)
M_tot = 0.000 μB/f.u.


Record 6
Material: Ta2Mo
Method: DFT, GGA-PBE
State: relaxed

```
3
Lattice="-1.513 2.379 3.855 1.513 -2.379 3.855 1.513 2.379 -3.855" Properties=species:S:1:pos:R:3 pbc="T T T"
Ta 0.000 0.000 1.467
Ta 0.000 0.000 6.243
Mo 0.000 2.379 0.000
```

VASP energy = -11.101 eV/atom
D(E_F) = 3.0 states/eV per cell
ΔE_f = 119 kJ/mol of formula units
SG = Immm (71)
M_tot = 0.000 μB/f.u.


Record 7
Material: Ta13Mo2
Method: DFT, GGA-PBE
State: relaxed

```
15
Lattice="7.137 0.000 0.000 3.262 6.352 0.000 3.404 2.189 6.081" Properties=species:S:1:pos:R:3 pbc="T T T"
Ta 0.000 0.000 0.000
Ta 3.176 4.039 1.693
Ta 5.881 5.985 5.010
Ta 5.306 6.313 2.009
Ta 3.995 1.569 3.318
Ta 5.805 3.586 2.593
Ta 8.927 6.672 5.699
Ta 4.875 1.870 0.382
Ta 7.997 4.956 3.488
Ta 9.807 6.972 2.763
Ta 8.496 2.229 4.072
Ta 7.921 2.556 1.072
Ta 10.627 4.503 4.389
Mo 5.923 3.006 5.258
Mo 7.880 5.536 0.824
```

VASP energy = -11.633 eV/atom
D(E_F) = 13.6 states/eV per cell
ΔE_f = 121 kJ/mol of formula units
SG = P-1 (2)
M_tot = 0.000 μB/f.u.


Record 8
Material: Ta3Mo5
Method: DFT, GGA-PBE
State: relaxed

```
8
Lattice="3.206 0.000 0.000 0.000 3.206 0.000 0.000 0.000 12.962" Properties=species:S:1:pos:R:3 pbc="T T T"
Ta 0.000 0.000 0.000
Ta 1.603 1.603 1.728
Ta 1.603 1.603 11.234
Mo 0.000 0.000 3.353
Mo 0.000 0.000 6.481
Mo 0.000 0.000 9.609
Mo 1.603 1.603 4.911
Mo 1.603 1.603 8.051
```

VASP energy = -11.297 eV/atom
D(E_F) = 4.7 states/eV per cell
ΔE_f = -64 kJ/mol of formula units
SG = P4/mmm (123)
M_tot = 0.000 μB/f.u.


Record 9
Material: Ta2Mo5
Method: DFT, GGA-PBE
State: relaxed

```
7
Lattice="9.197 -2.252 0.000 9.197 2.252 0.000 -0.294 0.000 2.781" Properties=species:S:1:pos:R:3 pbc="T T T"
Ta 2.487 0.000 1.186
Ta 15.612 0.000 1.595
Mo 0.000 0.000 0.000
Mo 5.002 0.000 2.416
Mo 7.812 0.000 0.778
Mo 10.287 0.000 2.003
Mo 13.097 0.000 0.365
```

VASP energy = -11.234 eV/atom
D(E_F) = 3.6 states/eV per cell
ΔE_f = -75 kJ/mol of formula units
SG = C2/m (12)
M_tot = 0.000 μB/f.u.


Record 10
Material: Ta3Mo5
Method: DFT, GGA-PBE
State: relaxed

```
8
Lattice="3.218 -4.543 0.000 3.218 4.543 0.000 0.000 0.000 4.539" Properties=species:S:1:pos:R:3 pbc="T T T"
Ta 0.000 0.000 0.000
Ta 3.218 2.281 2.269
Ta 3.218 -2.281 2.269
Mo 1.609 2.272 0.000
Mo 1.628 0.000 2.269
Mo 1.609 -2.272 0.000
Mo 3.218 0.000 0.000
Mo 4.808 0.000 2.269
```

VASP energy = -11.397 eV/atom
D(E_F) = 4.1 states/eV per cell
ΔE_f = -141 kJ/mol of formula units
SG = Cmmm (65)
M_tot = 0.000 μB/f.u.


Record 11
Material: Ta3Mo5
Method: DFT, GGA-PBE
State: relaxed

```
8
Lattice="5.328 0.000 0.000 -0.450 5.316 0.000 -2.453 -0.736 4.690" Properties=species:S:1:pos:R:3 pbc="T T T"
Ta 0.000 0.000 0.000
Ta -0.959 0.907 2.909
Ta 3.384 3.674 1.781
Mo 0.519 2.492 1.147
Mo -0.466 3.358 4.099
Mo 1.438 -0.368 2.345
Mo 2.892 1.223 0.591
Mo 1.907 2.089 3.543
```

VASP energy = -11.368 eV/atom
D(E_F) = 3.8 states/eV per cell
ΔE_f = -119 kJ/mol of formula units
SG = P-1 (2)
M_tot = 0.000 μB/f.u.


Record 12
Material: Ta3Mo5
Method: DFT, GGA-PBE
State: relaxed

```
8
Lattice="4.844 -2.263 0.000 4.844 2.263 0.000 -2.148 0.000 6.058" Properties=species:S:1:pos:R:3 pbc="T T T"
Ta 0.000 0.000 0.000
Ta -1.061 0.000 3.008
Ta 0.617 0.000 5.314
Mo 1.672 0.000 2.279
Mo 4.347 0.000 1.526
Mo 3.287 0.000 4.539
Mo 5.920 0.000 3.754
Mo 6.987 0.000 0.759
```

VASP energy = -11.382 eV/atom
D(E_F) = 4.5 states/eV per cell
ΔE_f = -130 kJ/mol of formula units
SG = Cm (8)
M_tot = 0.000 μB/f.u.